VASP calculation (GGA-PBE) on a relaxed Ba2SmInO5 crystal.

Summary:
size of the total moment	0.000	μB per atom
crystal system	orthorhombic
V	17.66	Å³ per atom
uncorrected energy	-117.197	eV for the cell shown

Lattice parameters (Å, degrees): 3.669 7.586 11.772 90.00 90.00 103.99
Sites, in units of the cell vectors:
O 0.947 0.895 0.543
O 0.373 0.747 0.999
O 0.279 0.558 0.645
O 0.627 0.253 0.499
O 0.721 0.442 0.145
O 0.319 0.638 0.393
O 0.053 0.105 0.043
O 0.681 0.362 0.893
O 0.508 0.016 0.286
O 0.492 0.984 0.786
Sm 0.217 0.435 0.014
Sm 0.783 0.565 0.514
Ba 0.859 0.717 0.795
Ba 0.141 0.283 0.295
Ba 0.897 0.794 0.191
Ba 0.103 0.206 0.691
In 0.523 0.046 0.959
In 0.477 0.954 0.459

VASP calculation (GGA-PBE) on a relaxed Ba2InSnO crystal.

Summary:
size of the total moment	0.000	μB per atom
crystal system	monoclinic
V	34.34	Å³ per atom
uncorrected energy	-42.804	eV for the cell shown

Lattice parameters (Å, degrees): 4.805 6.903 11.019 110.03 90.00 90.00
Sites, in units of the cell vectors:
In 0.250 0.600 0.754
In 0.750 0.400 0.246
O 0.250 0.823 0.944
O 0.750 0.177 0.056
Sn 0.250 0.663 0.296
Sn 0.750 0.337 0.704
Ba 0.250 0.205 0.961
Ba 0.750 0.781 0.558
Ba 0.750 0.795 0.039
Ba 0.250 0.219 0.442

VASP calculation (GGA-PBE) on a relaxed Ba2InSnO6 crystal.

Summary:
size of the total moment	0.091	μB per atom
crystal system	cubic
V	15.37	Å³ per atom
uncorrected energy	-60.072	eV for the cell shown

Lattice parameters (Å, degrees): 6.012 6.012 6.011 60.01 60.01 90.00
Site moments in Bohr magnetons follow the coordinates.
Sites, in units of the cell vectors:
O 0.245 0.245 0.000  0.13
O 0.755 0.755 0.000  0.13
O 0.245 0.245 0.511  0.13
O 0.755 0.245 0.000  0.13
O 0.755 0.755 0.489  0.13
O 0.245 0.755 0.000  0.13
Ba 0.250 0.750 0.500  -0.01
Ba 0.750 0.250 0.500  -0.01
Sn 0.000 0.000 0.000  -0.01
In 0.500 0.500 0.000  -0.01

VASP calculation (GGA-PBE) on a relaxed Ba3InSn2O8 crystal.

Summary:
size of the total moment	0.000	μB per atom
crystal system	trigonal
V	18.26	Å³ per atom
uncorrected energy	-83.449	eV for the cell shown

Lattice parameters (Å, degrees): 6.141 6.141 7.825 90.00 90.00 120.00
Sites, in units of the cell vectors:
O 0.667 0.333 0.047
O 0.328 0.164 0.678
O 0.672 0.836 0.322
O 0.164 0.836 0.322
O 0.836 0.672 0.678
O 0.333 0.667 0.953
O 0.164 0.328 0.322
O 0.836 0.164 0.678
Ba 0.667 0.333 0.359
Ba 0.000 0.000 0.000
Ba 0.333 0.667 0.641
Sn 0.667 0.333 0.797
Sn 0.333 0.667 0.203
In 0.000 0.000 0.500

VASP calculation (GGA-PBE) on a relaxed Ba3InSn2O9 crystal.

Summary:
size of the total moment	0.026	μB per atom
crystal system	trigonal
V	15.15	Å³ per atom
uncorrected energy	-91.737	eV for the cell shown

Lattice parameters (Å, degrees): 5.978 5.978 7.342 90.00 90.00 120.00
Sites, in units of the cell vectors:
Ba 0.000 0.000 0.000
Ba 0.333 0.667 0.662
Ba 0.667 0.333 0.338
Sn 0.333 0.667 0.165
Sn 0.667 0.333 0.835
O 0.170 0.341 0.328
O 0.830 0.170 0.672
O 0.830 0.659 0.672
O 0.341 0.170 0.672
O 0.500 0.000 0.000
O 0.170 0.830 0.328
O 0.500 0.500 0.000
O 0.000 0.500 0.000
O 0.659 0.830 0.328
In 0.000 0.000 0.500

VASP calculation (GGA-PBE) on a relaxed BaSr2In6O12 crystal.

Summary:
size of the total moment	0.000	μB per atom
crystal system	hexagonal
V	14.19	Å³ per atom
uncorrected energy	-121.488	eV for the cell shown

Lattice parameters (Å, degrees): 10.123 10.123 3.358 90.00 90.00 120.00
Sites, in units of the cell vectors:
O 0.552 0.530 0.255
O 0.064 0.207 0.255
O 0.143 0.936 0.255
O 0.793 0.857 0.255
O 0.268 0.456 0.755
O 0.978 0.448 0.255
O 0.849 0.619 0.755
O 0.770 0.151 0.755
O 0.381 0.230 0.755
O 0.187 0.732 0.755
O 0.544 0.813 0.755
O 0.470 0.022 0.255
Ba 0.667 0.333 0.254
In 0.017 0.682 0.255
In 0.667 0.683 0.755
In 0.318 0.335 0.255
In 0.317 0.984 0.755
In 0.016 0.333 0.755
In 0.665 0.983 0.255
Sr 0.000 0.000 0.755
Sr 0.333 0.667 0.255

VASP calculation (GGA-PBE) on a relaxed Ba2SrInO5 crystal.

Summary:
size of the total moment	0.118	μB per atom
crystal system	orthorhombic
V	18.06	Å³ per atom
uncorrected energy	-104.175	eV for the cell shown

Lattice parameters (Å, degrees): 3.792 7.843 11.265 90.00 90.00 103.99
Site moments in Bohr magnetons follow the coordinates.
Sites, in units of the cell vectors:
O 0.287 0.575 0.658  0.14
O 0.377 0.754 0.992  0.01
O 0.494 0.987 0.284  0.35
O 0.954 0.908 0.556  0.01
O 0.713 0.425 0.158  0.14
O 0.346 0.692 0.378  0.38
O 0.654 0.308 0.878  0.38
O 0.623 0.246 0.492  0.01
O 0.506 0.013 0.784  0.35
O 0.046 0.092 0.056  0.01
Ba 0.873 0.746 0.788  0.01
Ba 0.885 0.770 0.187  -0.01
Ba 0.115 0.230 0.687  -0.01
Ba 0.127 0.254 0.288  0.01
Sr 0.787 0.574 0.507  0.00
Sr 0.213 0.426 0.007  0.00
In 0.520 0.040 0.974  -0.01
In 0.480 0.960 0.474  -0.01

VASP calculation (GGA-PBE) on a relaxed BaSrInO4 crystal.

Summary:
size of the total moment	0.147	μB per atom
crystal system	orthorhombic
V	16.88	Å³ per atom
uncorrected energy	-80.425	eV for the cell shown

Lattice parameters (Å, degrees): 5.993 6.011 7.213 90.00 114.55 90.00
Site moments in Bohr magnetons follow the coordinates.
Sites, in units of the cell vectors:
Ba 0.895 0.750 0.790  0.01
Ba 0.105 0.250 0.210  0.01
In 0.255 0.750 0.509  0.02
In 0.745 0.250 0.491  0.02
O 0.500 0.000 0.500  0.17
O 0.500 0.500 0.500  0.17
O 0.000 0.000 0.500  0.17
O 0.912 0.250 0.824  0.29
O 0.422 0.750 0.844  0.22
O 0.578 0.250 0.156  0.22
O 0.088 0.750 0.176  0.29
O 0.000 0.500 0.500  0.17
Sr 0.389 0.250 0.779  0.00
Sr 0.611 0.750 0.221  0.00

Which of these has the highest size of the total moment? BaSrInO4